Computed, not measured: a relaxed structure of Zn3Fe5 at the PBE level of DFT.

Excess energy over the best structure of this formula in the dataset: 179.2 meV/atom
Magnetization: 12.4 μB/f.u.
D(E_F): 12.9 states/eV/cell
Formation enthalpy at 0 K: 199 meV per atom
Symmetry: P6_3/mcm (193)

Lattice parameters (Å, degrees): 7.1441 7.1454 4.6958 90.00 90.00 59.99
Fractional positions:
Fe  0.2105  0.7895  0.7500
Fe  0.0000  0.2108  0.7500
Fe  0.6667  0.6667  0.0000
Zn  0.0000  0.4057  0.2500
Fe  0.0000  0.7891  0.2500
Fe  0.7895  0.2105  0.2500
Fe  0.7894  0.0000  0.7500
Fe  0.3333  0.3333  0.0000
Zn  0.5942  0.0000  0.2500
Zn  0.5941  0.4059  0.7500
Fe  0.3333  0.3333  0.5000
Fe  0.2106  0.9999  0.2500
Zn  0.0000  0.5942  0.7500
Fe  0.6667  0.6667  0.5000
Zn  0.4058  0.0000  0.7500
Zn  0.4059  0.5941  0.2500

=====

Computed, not measured: a relaxed structure of La2BeCuB at the PBE level of DFT.

Magnetization: 0.0 μB/f.u.
D(E_F): 4.7 states/eV/cell
Formation enthalpy at 0 K: 14 meV per atom
Symmetry: P4/mmm (123)

Lattice parameters (Å, degrees): 5.4174 3.6464 5.4174 90.00 90.00 90.00
Fractional positions:
Be  0.0000  0.5000  0.0000
Cu  0.5000  0.5000  0.5000
La  0.0000  0.0000  0.5000
B  0.0000  0.0000  0.0000
La  0.5000  0.0000  0.0000

=====

Computed, not measured: a relaxed structure of LuAlGa2 at the PBE level of DFT.

Magnetization: 0.0 μB/f.u.
D(E_F): 1.9 states/eV/cell
Formation enthalpy at 0 K: -320 meV per atom
Symmetry: R-3m (166)

Lattice parameters (Å, degrees): 4.2929 4.2929 5.5348 67.18 67.18 60.00
Fractional positions:
Ga  0.7743  0.7743  0.6770
Ga  0.2257  0.2257  0.3230
Al  0.5000  0.5000  0.5000
Lu  0.0000  0.0000  0.0000

=====

Computed, not measured: a relaxed structure of ZnTc6 at the PBE level of DFT.

Magnetization: 0.0 μB/f.u.
D(E_F): 14.5 states/eV/cell
Formation enthalpy at 0 K: 395 meV per atom
Symmetry: P4/nbm (125)

Lattice parameters (Å, degrees): 5.2443 5.2443 8.0903 90.00 90.00 90.00
Fractional positions:
Tc  0.5000  0.5000  0.8529
Tc  0.6734  0.1734  0.3617
Tc  0.0000  0.0000  0.1471
Tc  0.8266  0.6734  0.3617
Zn  0.5000  0.0000  0.0000
Tc  0.5000  0.5000  0.1471
Tc  0.3266  0.8266  0.3617
Tc  0.0000  0.0000  0.8529
Tc  0.8266  0.3266  0.6383
Tc  0.1734  0.6734  0.6383
Tc  0.3266  0.1734  0.6383
Tc  0.6734  0.8266  0.6383
Zn  0.0000  0.5000  0.0000
Tc  0.1734  0.3266  0.3617

=====

Computed, not measured: a relaxed structure of TiPN3 at the PBE level of DFT.

Raw formation energy: -711 meV/atom
Magnetization: 0.0 μB/f.u.
D(E_F): 1.3 states/eV/cell
Symmetry: Cmcm (63)

Lattice parameters (Å, degrees): 2.8526 5.3769 6.2864 90.00 76.89 90.00
Fractional positions:
P  0.1306  0.3575  0.9990
N  0.8973  0.0888  0.4657
N  0.5585  0.3575  0.1433
P  0.9860  0.8575  0.2882
N  0.2193  0.1263  0.8216
N  0.8973  0.6263  0.4657
Ti  0.3652  0.3575  0.5298
N  0.5581  0.8575  0.1440
Ti  0.7514  0.8575  0.7575
N  0.2193  0.5888  0.8216

=====

Computed, not measured: a relaxed structure of BaYRh2 at the PBE level of DFT.

Magnetization: 0.0 μB/f.u.
D(E_F): 4.3 states/eV/cell
Formation enthalpy at 0 K: -103 meV per atom
Symmetry: R-3m (166)

Lattice parameters (Å, degrees): 8.1777 8.1777 8.1777 27.38 27.38 27.38
Fractional positions:
Ba  0.7500  0.7500  0.7500
Y  0.2500  0.2500  0.2500
Rh  0.5091  0.5091  0.5091
Rh  0.9909  0.9909  0.9909